A plane-wave DFT calculation with GGA-PBE was carried out for a relaxed structure of OsRhPb2.

abc: 3.3122 3.3122 24.9684
angles: 90.00 90.00 120.00
Space group R-3m (No. 166, hexagonal axes)
Inequivalent atoms, fractional coordinates:
Os (0.0000, 0.0000, 0.0000)
Rh (0.0000, 0.0000, 0.5000)
Pb (0.0000, 0.0000, 0.2494)

Summary:
Energy relative to the elements: 0.64 eV/atom
Relative energy among the computed polymorphs: 237.2 meV per atom

***

A plane-wave DFT calculation with GGA-PBE was carried out for a relaxed structure of TaTe2P.

abc: 4.9673 4.9673 3.3780
angles: 90.00 90.00 90.00
Space group P4/mmm (No. 123)
Inequivalent atoms, fractional coordinates:
Ta (0.0000, 0.0000, 0.0000)
Te (0.0000, 0.5000, 0.5000)
P (0.5000, 0.5000, 0.0000)

Summary:
Formation energy without anion corrections: 0.604 eV per atom

***

A plane-wave DFT calculation with GGA-PBE was carried out for a relaxed structure of TiAgAu2.

abc: 2.9761 2.9761 27.8146
angles: 90.00 90.00 120.00
Space group R3m (No. 160, hexagonal axes)
Inequivalent atoms, fractional coordinates:
Ti (0.0000, 0.0000, 0.0000)
Ag (0.0000, 0.0000, 0.8331)
Au (0.0000, 0.0000, 0.4127)
Au (0.0000, 0.0000, 0.5874)

Summary:
Energy relative to the elements: -0.13 eV/atom
Relative energy among the computed polymorphs: 116.2 meV per atom